Record 1
18
Lattice="3.3030 0.0000 0.0000 -1.6515 6.7163 0.0000 0.0000 0.0000 10.4163" Properties=species:S:1:pos:R:3 comment="Sm2TaTcN5, relaxed, DFT PBE" raw_formation_energy_ev_per_atom=-1.00 pbc="T T T"
Ta 1.6515 3.7708 5.3344
Ta 0.0000 2.9455 0.1262
Sm 0.0000 1.4833 7.2575
Sm 1.6515 5.2330 2.0494
Sm 0.0000 1.9199 3.0971
Sm 1.6515 4.7964 8.3053
N 0.0000 0.6280 0.4883
N 1.6515 0.1282 2.9485
N 1.6515 2.9039 1.5206
N 0.0000 3.8124 6.7288
N 1.6515 6.0883 5.6964
N 0.0000 6.5881 8.1566
N 1.6515 1.8221 5.2035
N 1.6515 2.4405 9.1696
N 0.0000 4.8942 10.4117
N 0.0000 4.2758 3.9615
Tc 0.0000 6.3851 4.8122
Tc 1.6515 0.3312 10.0204


Record 2
7
Lattice="4.2326 0.0000 0.0000 -2.1163 3.6952 -0.2499 0.0000 -1.7845 7.5372" Properties=species:S:1:pos:R:3 comment="PaZn2Ga2Cu2, relaxed, DFT PBE" ef_kj_per_mol_atoms=-14 pbc="T T T"
Pa 0.0000 0.0000 0.0000
Ga 2.1163 1.3474 1.6175
Ga 0.0000 0.5633 5.6697
Cu 0.0000 0.2529 3.1178
Cu 2.1163 1.6578 4.1694
Zn 0.0000 2.6255 2.0482
Zn 2.1163 -0.7148 5.2391


Record 3
7
Lattice="4.4558 0.0000 0.0000 -2.2279 5.4350 -0.2943 0.0000 -3.2068 6.1617" Properties=species:S:1:pos:R:3 comment="Sr2Zn2Ir3, relaxed, DFT PBE" ef_kj_per_mol_atoms=-21 pbc="T T T"
Zn 0.0000 0.6413 1.5669
Zn 2.2279 1.5869 4.3005
Sr 0.0000 -0.6936 4.6859
Sr 2.2279 2.9218 1.1816
Ir 2.2279 -0.5063 2.5218
Ir 2.2279 0.0000 0.0000
Ir 0.0000 2.7345 3.3456


Record 4
4
Lattice="3.7187 0.0000 0.0000 0.0000 2.6039 -0.0194 0.0000 2.4304 4.5459" Properties=species:S:1:pos:R:3 comment="Cr2FeP, relaxed, DFT PBE" ef_kj_per_mol_atoms=-11 pbc="T T T"
P 1.8594 3.7758 3.3949
Fe 1.8594 1.2586 1.1316
Cr 0.0000 4.9563 4.4889
Cr 0.0000 2.5953 2.3009